Entry from the Alexandria database: NaBi2Cl8 after structural relaxation (PBE).

Values from the calculation:
**Space group**: C2/m, No. 12
**Crystal system**: monoclinic
**Formation energy from raw total energies**: -90.7 kJ/mol of atoms
**E_tot**: -34.20 eV for the cell shown

Cell lengths 7.002, 7.002, 7.060 Å; angles 97.63, 97.63, 75.80 degrees
Atoms (fractional coordinates):
Na: 0.000 0.000 0.000
Bi: 0.311 0.311 0.555
Bi: 0.689 0.689 0.445
Cl: 0.058 0.684 0.654
Cl: 0.218 0.218 0.867
Cl: 0.316 0.942 0.346
Cl: 0.447 0.447 0.249
Cl: 0.553 0.553 0.751
Cl: 0.684 0.058 0.654
Cl: 0.782 0.782 0.133
Cl: 0.942 0.316 0.346

---

Entry from the Alexandria database: Co4SiRu after structural relaxation (PBE).

Values from the calculation:
**Space group**: F-43m, No. 216
**Crystal system**: cubic
**Formation energy from raw total energies**: 14.7 kJ/mol of atoms
**E_tot**: -42.21 eV for the cell shown

Cell lengths 4.653, 4.653, 4.653 Å; angles 60.00, 60.00, 60.00 degrees
Atoms (fractional coordinates):
Co: 0.124 0.124 0.124
Co: 0.124 0.124 0.627
Co: 0.124 0.627 0.124
Co: 0.627 0.124 0.124
Si: 0.750 0.750 0.750
Ru: 0.500 0.500 0.500

---

Entry from the Alexandria database: BaTa3O after structural relaxation (PBE).

Values from the calculation:
**Space group**: Pm-3m, No. 221
**Crystal system**: cubic
**Formation energy from raw total energies**: 35.0 kJ/mol of atoms
**E_tot**: -40.62 eV for the cell shown

Cell lengths 4.540, 4.540, 4.540 Å; angles 90.00, 90.00, 90.00 degrees
Atoms (fractional coordinates):
Ba: 0.000 0.000 0.000
Ta: 0.000 0.500 0.500
Ta: 0.500 0.000 0.500
Ta: 0.500 0.500 0.000
O: 0.500 0.500 0.500

---

Entry from the Alexandria database: Pr6Ni2IrCl3 after structural relaxation (PBE).

Values from the calculation:
**Space group**: C2/m, No. 12
**Crystal system**: monoclinic
**Formation energy from raw total energies**: -96.3 kJ/mol of atoms
**E_tot**: -66.61 eV for the cell shown

Cell lengths 7.114, 7.114, 7.920 Å; angles 98.58, 98.58, 120.03 degrees
Atoms (fractional coordinates):
Pr: 0.097 0.432 0.797
Pr: 0.232 0.232 0.203
Pr: 0.432 0.097 0.797
Pr: 0.568 0.903 0.203
Pr: 0.768 0.768 0.797
Pr: 0.903 0.568 0.203
Ni: 0.167 0.833 0.000
Ni: 0.833 0.167 0.000
Ir: 0.500 0.500 0.000
Cl: 0.000 0.000 0.500
Cl: 0.332 0.668 0.500
Cl: 0.668 0.332 0.500